(1)
{"formula": "MgZrBr2", "functional": "PBE-GGA", "state": "relaxed", "sg": "I-42d (122)", "de_polymorph_ev_per_atom": 0.7411, "raw_formation_energy_ev_per_atom": 0.0046, "lattice": [[6.2659, 0.0000, 0.0000], [0.0000, 6.2659, 0.0000], [3.1329, 3.1329, 6.4172]], "species": ["Br", "Br", "Zr", "Br", "Mg", "Zr", "Br", "Mg"], "frac_coords": [[0.3750, 0.3994, 0.7500], [0.8750, 0.8506, 0.7500], [0.0000, 0.0000, 0.0000], [0.1494, 0.6250, 0.2500], [0.5000, 0.5000, 0.0000], [0.7500, 0.2500, 0.5000], [0.6006, 0.1250, 0.2500], [0.2500, 0.7500, 0.5000]]}

=====

(2)
{"formula": "CsMg2NbRe", "functional": "PBE-GGA", "state": "relaxed", "sg": "P4/mmm (123)", "lattice": [[-1.6153, 5.5570, -0.2160], [-4.4840, -1.3041, -0.0180], [-0.0818, 0.2012, 5.7869]], "species": ["Cs", "Mg", "Re", "Nb", "Mg"], "frac_coords": [[0.5000, 0.5000, 0.5000], [0.0000, 0.0000, 0.5000], [0.0000, 0.5000, 0.0000], [0.0000, 0.0000, 0.0000], [0.5000, 0.0000, 0.0000]]}

=====

(3)
{"formula": "MnRe2Os2", "functional": "PBE-GGA", "state": "relaxed", "sg": "P4/mbm (127)", "lattice": [[7.4425, 0.0000, 0.0000], [0.0000, 7.4425, 0.0000], [0.0000, 0.0000, 2.7610]], "species": ["Re", "Mn", "Re", "Mn", "Os", "Os", "Os", "Re", "Os", "Re"], "frac_coords": [[0.6696, 0.8304, 0.5000], [0.5000, 0.5000, 0.0000], [0.1696, 0.6696, 0.5000], [0.0000, 0.0000, 0.0000], [0.1267, 0.3733, 0.0000], [0.8733, 0.6267, 0.0000], [0.6267, 0.1267, 0.0000], [0.3304, 0.1696, 0.5000], [0.3733, 0.8733, 0.0000], [0.8304, 0.3304, 0.5000]]}

=====

(4)
{"formula": "AlFe2W", "functional": "PBE-GGA", "state": "relaxed", "sg": "R-3m (166)", "lattice": [[-4.5093, -4.1308, -5.9176], [-2.4556, -5.8797, -5.6405], [-4.5714, -5.9940, -3.9484]], "species": ["Fe", "Fe", "Al", "W"], "frac_coords": [[0.0022, 0.0022, 0.0022], [0.4978, 0.4978, 0.4978], [0.7500, 0.7500, 0.7500], [0.2500, 0.2500, 0.2500]]}

=====

(5)
{"formula": "Ag4Br2Cl3", "functional": "PBE-GGA", "state": "relaxed", "sg": "C2/m (12)", "de_polymorph_ev_per_atom": 0.0000, "raw_formation_energy_ev_per_atom": -0.3595, "lattice": [[3.7215, 0.0000, 0.9154], [1.5655, 6.3487, 1.6581], [-0.3725, 0.9538, 9.5364]], "species": ["Ag", "Cl", "Br", "Br", "Cl", "Ag", "Ag", "Cl", "Ag"], "frac_coords": [[0.4077, 0.3007, 0.8839], [0.0000, 0.0000, 0.0000], [0.5980, 0.1985, 0.6056], [0.4020, 0.8015, 0.3944], [0.7887, 0.6078, 0.8148], [0.5923, 0.6993, 0.1161], [0.2043, 0.8951, 0.6964], [0.2113, 0.3922, 0.1852], [0.7957, 0.1049, 0.3036]]}

=====

(6)
{"formula": "Ga3HRh", "functional": "PBE-GGA", "state": "relaxed", "sg": "Pm-3m (221)", "de_polymorph_ev_per_atom": 0.0000, "lattice": [[4.7618, 0.0000, 0.0000], [0.0000, 4.7618, 0.0000], [0.0000, 0.0000, 4.7618]], "species": ["Ga", "Ga", "H", "Ga", "Rh"], "frac_coords": [[0.0000, 0.0000, 0.5000], [0.0000, 0.5000, 0.0000], [0.5000, 0.5000, 0.5000], [0.5000, 0.0000, 0.0000], [0.0000, 0.0000, 0.0000]]}

=====

(7)
{"formula": "ZrCr2Pb", "functional": "PBE-GGA", "state": "relaxed", "sg": "F-43m (216)", "lattice": [[4.7935, 0.0000, 0.0000], [2.3967, 4.1513, 0.0000], [2.3967, 1.3838, 3.9138]], "species": ["Pb", "Zr", "Cr", "Cr"], "frac_coords": [[0.5000, 0.5000, 0.5000], [0.7500, 0.7500, 0.7500], [0.2500, 0.2500, 0.2500], [0.0000, 0.0000, 0.0000]]}

=====

(8)
{"formula": "AlBSe2", "functional": "PBE-GGA", "state": "relaxed", "sg": "R-3m (166)", "de_polymorph_ev_per_atom": 0.2670, "raw_formation_energy_ev_per_atom": 0.4255, "lattice": [[-6.1397, 4.2573, 3.3243], [-6.0510, 1.6776, 5.2385], [-4.0562, 4.1407, 5.7682]], "species": ["B", "Se", "Al", "Se"], "frac_coords": [[0.5000, 0.5000, 0.5000], [0.8875, 0.8875, 0.8875], [0.0000, 0.0000, 0.0000], [0.1125, 0.1125, 0.1125]]}

=====

(9)
{"formula": "Sc3Al2Hg", "functional": "PBE-GGA", "state": "relaxed", "sg": "P4/mmm (123)", "lattice": [[-0.6247, -2.7158, -1.7131], [-1.4770, -1.3066, 2.6099], [-9.8640, 4.4007, -3.3794]], "species": ["Hg", "Al", "Sc", "Sc", "Al", "Sc"], "frac_coords": [[0.5000, 0.5000, 0.5000], [0.5000, 0.5000, 0.8372], [0.0000, 0.0000, 0.3228], [0.0000, 0.0000, 0.6772], [0.5000, 0.5000, 0.1628], [0.0000, 0.0000, 0.0000]]}

=====

(10)
{"formula": "Ce6GeIr2", "functional": "PBE-GGA", "state": "relaxed", "sg": "C2/c (15)", "de_polymorph_ev_per_atom": 0.1422, "lattice": [[6.5567, 0.4541, 0.4396], [2.5063, 8.7010, 1.9732], [2.5063, 2.2541, 8.6325]], "species": ["Ir", "Ce", "Ce", "Ce", "Ce", "Ce", "Ce", "Ce", "Ge", "Ir", "Ir", "Ce", "Ce", "Ce", "Ir", "Ce", "Ce", "Ge"], "frac_coords": [[0.8978, 0.2837, 0.2250], [0.2940, 0.3945, 0.9618], [0.7060, 0.6055, 0.0382], [0.7940, 0.9618, 0.3945], [0.0364, 0.5564, 0.6050], [0.2749, 0.9761, 0.2090], [0.9636, 0.4436, 0.3950], [0.2251, 0.7910, 0.0239], [0.2500, 0.1801, 0.8199], [0.3978, 0.2250, 0.2837], [0.6022, 0.7750, 0.7163], [0.7251, 0.0239, 0.7910], [0.4636, 0.3950, 0.4436], [0.5364, 0.6050, 0.5564], [0.1022, 0.7163, 0.7750], [0.2060, 0.0382, 0.6055], [0.7749, 0.2090, 0.9761], [0.7500, 0.8199, 0.1801]]}

=====

(11)
{"formula": "KBaTl", "functional": "PBE-GGA", "state": "relaxed", "sg": "Cmcm (63)", "de_polymorph_ev_per_atom": 0.0319, "lattice": [[-1.2468, -1.8518, 3.7135], [-4.4574, -2.7317, -2.8587], [7.4498, -7.9693, -4.0007]], "species": ["K", "Ba", "Ba", "K", "Tl", "Tl"], "frac_coords": [[0.6979, 0.2500, 0.3959], [0.4291, 0.2500, 0.8583], [0.5709, 0.7500, 0.1417], [0.3021, 0.7500, 0.6041], [0.9444, 0.7500, 0.8888], [0.0556, 0.2500, 0.1112]]}

=====

(12)
{"formula": "Na2Sn2Pb3", "functional": "PBE-GGA", "state": "relaxed", "sg": "P-1 (2)", "de_polymorph_ev_per_atom": 0.0240, "lattice": [[-3.9943, -1.3550, -4.1155], [-5.9253, -0.0461, 7.0674], [-1.1061, 4.0239, 2.5333]], "species": ["Pb", "Sn", "Pb", "Pb", "Sn", "Na", "Na"], "frac_coords": [[0.2848, 0.5796, 0.5613], [0.8754, 0.7076, 0.7368], [0.7152, 0.4204, 0.4387], [0.0000, 0.0000, 0.0000], [0.1246, 0.2924, 0.2632], [0.5630, 0.1413, 0.1397], [0.4370, 0.8587, 0.8603]]}

=====

(13)
{"formula": "GdNbTcRu", "functional": "PBE-GGA", "state": "relaxed", "sg": "F-43m (216)", "lattice": [[-4.5274, 0.7492, -0.8085], [-2.0070, -1.7595, -3.8195], [-3.0449, -3.5073, 0.3733]], "species": ["Ru", "Nb", "Tc", "Gd"], "frac_coords": [[0.0000, 0.0000, 0.0000], [0.7500, 0.7500, 0.7500], [0.5000, 0.5000, 0.5000], [0.2500, 0.2500, 0.2500]]}

=====

(14)
{"formula": "HgBi2HAu", "functional": "PBE-GGA", "state": "relaxed", "sg": "P4/mmm (123)", "lattice": [[5.8071, 0.0000, 0.0000], [0.0000, 5.8071, 0.0000], [0.0000, 0.0000, 3.4807]], "species": ["H", "Hg", "Au", "Bi", "Bi"], "frac_coords": [[0.0000, 0.0000, 0.5000], [0.5000, 0.5000, 0.5000], [0.0000, 0.0000, 0.0000], [0.0000, 0.5000, 0.0000], [0.5000, 0.0000, 0.0000]]}

=====

(15)
{"formula": "Rb2TeRh", "functional": "PBE-GGA", "state": "relaxed", "sg": "I-42d (122)", "raw_formation_energy_ev_per_atom": 0.3428, "lattice": [[4.5862, 0.0000, 0.0000], [0.0000, 4.5862, 0.0000], [2.2931, 2.2931, 11.7833]], "species": ["Rb", "Rh", "Rb", "Te", "Rh", "Te", "Rb", "Rb"], "frac_coords": [[0.3750, 0.3860, 0.7500], [0.2500, 0.7500, 0.5000], [0.1360, 0.6250, 0.2500], [0.0000, 0.0000, 0.0000], [0.5000, 0.5000, 0.0000], [0.7500, 0.2500, 0.5000], [0.8750, 0.8640, 0.7500], [0.6140, 0.1250, 0.2500]]}

=====

(16)
{"formula": "TaTc2Os", "functional": "PBE-GGA", "state": "relaxed", "sg": "Imm2 (44)", "de_polymorph_ev_per_atom": 0.0442, "lattice": [[-0.1912, -4.1247, 3.1751], [0.0779, -4.7031, -2.2374], [2.5654, 4.4944, 0.5919]], "species": ["Tc", "Os", "Ta", "Tc"], "frac_coords": [[0.0105, 0.0105, 0.0000], [0.4886, 0.4886, 0.0000], [0.2479, 0.7479, 0.5000], [0.7531, 0.2531, 0.5000]]}

=====

(17)
{"formula": "CrH3Pd2", "functional": "PBE-GGA", "state": "relaxed", "sg": "Cm (8)", "lattice": [[-0.4040, -1.9266, -2.1915], [1.9518, -1.8592, 1.1874], [-5.2538, -0.7569, 3.6781]], "species": ["H", "Pd", "H", "H", "Pd", "Cr"], "frac_coords": [[0.9421, 0.9435, 0.8742], [0.7934, 0.7948, 0.5513], [0.2346, 0.2362, 0.5351], [0.5716, 0.5731, 0.2123], [0.1157, 0.1171, 0.1968], [0.4479, 0.4494, 0.8741]]}

=====

(18)
{"formula": "CdInW", "functional": "PBE-GGA", "state": "relaxed", "sg": "F-43m (216)", "de_polymorph_ev_per_atom": 1.0173, "lattice": [[4.6345, 0.0000, 0.0000], [2.3173, 4.0136, 0.0000], [2.3173, 1.3379, 3.7841]], "species": ["In", "Cd", "W"], "frac_coords": [[0.7500, 0.7500, 0.7500], [0.5000, 0.5000, 0.5000], [0.0000, 0.0000, 0.0000]]}

=====

(19)
{"formula": "YHf2Ru", "functional": "PBE-GGA", "state": "relaxed", "sg": "I-42d (122)", "de_polymorph_ev_per_atom": 0.0000, "lattice": [[7.9254, 0.0000, 0.0000], [0.0000, 7.9254, 0.0000], [3.9627, 3.9627, 2.9901]], "species": ["Ru", "Hf", "Y", "Hf", "Y", "Hf", "Hf", "Ru"], "frac_coords": [[0.0000, 0.0000, 0.0000], [0.0579, 0.6250, 0.2500], [0.2500, 0.7500, 0.5000], [0.3750, 0.3079, 0.7500], [0.5000, 0.5000, 0.0000], [0.8750, 0.9421, 0.7500], [0.6921, 0.1250, 0.2500], [0.7500, 0.2500, 0.5000]]}

=====

(20)
{"formula": "BaCaPH2", "functional": "PBE-GGA", "state": "relaxed", "sg": "Cmcm (63)", "de_polymorph_ev_per_atom": 0.0000, "lattice": [[4.4848, 0.0000, 0.0000], [-2.2424, 6.4598, 0.0000], [0.0000, 0.0000, 7.2191]], "species": ["Ca", "Ca", "P", "Ba", "P", "H", "H", "H", "Ba", "H"], "frac_coords": [[0.0000, 0.0000, 0.5000], [0.0000, 0.0000, 0.0000], [0.5432, 0.0863, 0.2500], [0.2740, 0.5480, 0.2500], [0.4568, 0.9137, 0.7500], [0.1708, 0.3417, 0.9378], [0.8292, 0.6583, 0.0622], [0.1708, 0.3417, 0.5622], [0.7260, 0.4520, 0.7500], [0.8292, 0.6583, 0.4378]]}

=====

(21)
{"formula": "NaAc4Eu", "functional": "PBE-GGA", "state": "relaxed", "sg": "F-43m (216)", "lattice": [[7.4759, 0.0000, 0.0000], [3.7380, 6.4744, 0.0000], [3.7380, 2.1581, 6.1041]], "species": ["Ac", "Ac", "Eu", "Ac", "Ac", "Na"], "frac_coords": [[0.6257, 0.1230, 0.6257], [0.6257, 0.6257, 0.1230], [0.0000, 0.0000, 0.0000], [0.1230, 0.6257, 0.6257], [0.6257, 0.6257, 0.6257], [0.2500, 0.2500, 0.2500]]}

=====

(22)
{"formula": "Ho4ZrAu5", "functional": "PBE-GGA", "state": "relaxed", "sg": "P4/mmm (123)", "lattice": [[-0.7173, 0.8123, 3.3665], [-3.0312, -1.8099, -0.2092], [8.4889, -14.8404, 5.3896]], "species": ["Ho", "Au", "Au", "Au", "Au", "Zr", "Au", "Ho", "Ho", "Ho"], "frac_coords": [[0.0000, 0.0000, 0.3979], [0.5000, 0.5000, 0.9076], [0.5000, 0.5000, 0.7032], [0.5000, 0.5000, 0.2968], [0.5000, 0.5000, 0.0924], [0.0000, 0.0000, 0.0000], [0.5000, 0.5000, 0.5000], [0.0000, 0.0000, 0.6021], [0.0000, 0.0000, 0.1949], [0.0000, 0.0000, 0.8051]]}

=====

(23)
{"formula": "La3YTm2Se6", "functional": "PBE-GGA", "state": "relaxed", "sg": "C2/m (12)", "raw_formation_energy_ev_per_atom": -1.8602, "lattice": [[7.1415, -0.0110, -0.0023], [-3.5785, 6.1802, -0.0023], [-1.1907, -2.0617, 7.0002]], "species": ["Se", "La", "La", "Tm", "Se", "Se", "Se", "Se", "Se", "Y", "Tm", "La"], "frac_coords": [[0.9242, 0.5866, 0.7722], [0.1646, 0.8354, 0.5000], [0.8354, 0.1646, 0.5000], [0.3334, 0.6666, 0.0000], [0.0758, 0.4134, 0.2278], [0.4134, 0.0758, 0.2278], [0.2624, 0.2624, 0.7741], [0.7376, 0.7376, 0.2259], [0.5866, 0.9242, 0.7722], [0.0000, 0.0000, 0.0000], [0.6666, 0.3334, 0.0000], [0.5000, 0.5000, 0.5000]]}

=====

(24)
{"formula": "HgMoAs2Rh", "functional": "PBE-GGA", "state": "relaxed", "sg": "P4/mmm (123)", "lattice": [[4.8403, 0.0000, 0.0000], [0.0000, 4.8957, 0.0000], [0.0000, 0.0000, 4.8403]], "species": ["As", "Mo", "As", "Hg", "Rh"], "frac_coords": [[0.5000, 0.0000, 0.0000], [0.0000, 0.0000, 0.0000], [0.0000, 0.0000, 0.5000], [0.5000, 0.5000, 0.5000], [0.0000, 0.5000, 0.0000]]}

=====

(25)
{"formula": "Tb2Re2N5", "functional": "PBE-GGA", "state": "relaxed", "sg": "Ima2 (46)", "de_polymorph_ev_per_atom": 0.0000, "raw_formation_energy_ev_per_atom": -0.6754, "lattice": [[5.4267, 0.0000, -1.7783], [-0.5569, 5.1451, -1.6995], [-0.1948, -0.0721, 8.5748]], "species": ["Re", "Tb", "N", "N", "N", "N", "N", "Tb", "N", "N", "Re", "Tb", "N", "Tb", "Re", "N", "Re", "N"], "frac_coords": [[0.2174, 0.2722, 0.5000], [0.1222, 0.6036, 0.2259], [0.7687, 0.2645, 0.0365], [0.2175, 0.1302, 0.2685], [0.7677, 0.7645, 0.0365], [0.2323, 0.7280, 0.9635], [0.9194, 0.1045, 0.5000], [0.8778, 0.3777, 0.7741], [0.5510, 0.6302, 0.2685], [0.4490, 0.3617, 0.7315], [0.5000, 0.4937, 0.0000], [0.6037, 0.1036, 0.2259], [0.7825, 0.8617, 0.7315], [0.3963, 0.8777, 0.7741], [0.7826, 0.7722, 0.5000], [0.0806, 0.6045, 0.5000], [0.0000, 0.9937, 0.0000], [0.2313, 0.2280, 0.9635]]}

=====

(26)
{"formula": "ErGaGe", "functional": "PBE-GGA", "state": "relaxed", "sg": "P3m1 (156)", "lattice": [[4.2797, 0.0000, 0.0000], [0.0000, 4.1174, 0.0000], [0.0000, -2.0587, 3.5658]], "species": ["Ge", "Er", "Ga"], "frac_coords": [[0.2604, 0.3333, 0.6667], [0.6694, 0.6667, 0.3333], [0.0702, 0.0000, 0.0000]]}

=====

| no. | total energy (eV per atom) |
| --- | --- |
| 1 | -3.368 |
| 2 | -4.170 |
| 3 | -10.836 |
| 4 | -8.276 |
| 5 | -2.614 |
| 6 | -3.846 |
| 7 | -7.400 |
| 8 | -3.922 |
| 9 | -4.903 |
| 10 | -6.832 |
| 11 | -1.995 |
| 12 | -3.195 |
| 13 | -11.067 |
| 14 | -2.818 |
| 15 | -2.764 |
| 16 | -10.954 |
| 17 | -4.997 |
| 18 | -4.262 |
| 19 | -8.877 |
| 20 | -3.802 |
| 21 | -4.355 |
| 22 | -5.103 |
| 23 | -6.118 |
| 24 | -4.878 |
| 25 | -9.096 |
| 26 | -4.660 |